No. 1
RbGa2Pt2 | PBE | relaxed

Geometry as CIF:
```
data_RbGa2Pt2
_chemical_formula_sum 'Rb2 Ga4 Pt4'
_cell_length_a 8.193
_cell_length_b 8.193
_cell_length_c 2.828
_cell_angle_alpha 90.00
_cell_angle_beta 90.00
_cell_angle_gamma 90.00
_space_group_name_H-M_alt 'P 4/m b m'
_space_group_IT_number 127
_space_group_name_Hall '-P 4 2ab'
loop_
_atom_site_label
_atom_site_fract_x
_atom_site_fract_y
_atom_site_fract_z
Rb1 0.000 0.000 0.000
Ga1 0.124 0.376 0.000
Pt1 0.166 0.666 0.500
```

Results
The value obtained for the formation energy is -30.2 kJ per mole of atoms. The value obtained for the polymorph energy (0 for the lowest one) is 96 kJ/mol of formula units.



No. 2
Rb2GaPt2 | PBE | relaxed

Geometry as CIF:
```
data_Rb2GaPt2
_chemical_formula_sum 'Rb6 Ga3 Pt6'
_cell_length_a 4.4739
_cell_length_b 4.4739
_cell_length_c 32.2041
_cell_angle_alpha 90.00
_cell_angle_beta 90.00
_cell_angle_gamma 120.00
_space_group_name_H-M_alt 'R -3 m'
_space_group_IT_number 166
_space_group_name_Hall '-R 3 2"'
loop_
_atom_site_label
_atom_site_fract_x
_atom_site_fract_y
_atom_site_fract_z
Rb1 0.0000 0.0000 0.0763
Ga1 0.0000 0.0000 0.5000
Pt1 0.0000 0.0000 0.1796
```

Results
The value obtained for the formation energy is -31.7 kJ per mole of atoms. The value obtained for the polymorph energy (0 for the lowest one) is 0 kJ/mol of formula units.



No. 3
RbGaPt | PBE | relaxed

Geometry as CIF:
```
data_RbGaPt
_chemical_formula_sum 'Rb1 Ga1 Pt1'
_cell_length_a 4.2708
_cell_length_b 4.2708
_cell_length_c 5.5871
_cell_angle_alpha 90.00
_cell_angle_beta 90.00
_cell_angle_gamma 120.00
_space_group_name_H-M_alt 'P -6 m 2'
_space_group_IT_number 187
_space_group_name_Hall 'P -6 2'
loop_
_atom_site_label
_atom_site_fract_x
_atom_site_fract_y
_atom_site_fract_z
Rb1 0.0000 0.0000 0.0000
Ga1 0.6667 0.3333 0.5000
Pt1 0.3333 0.6667 0.5000
```

Results
The value obtained for the formation energy is -34.8 kJ per mole of atoms. The value obtained for the polymorph energy (0 for the lowest one) is 21 kJ/mol of formula units.



No. 4
RbGaPt3 | PBE | relaxed

Geometry as CIF:
```
data_RbGaPt3
_chemical_formula_sum 'Rb1 Ga1 Pt3'
_cell_length_a 4.830
_cell_length_b 4.830
_cell_length_c 4.830
_cell_angle_alpha 90.00
_cell_angle_beta 90.00
_cell_angle_gamma 90.00
_space_group_name_H-M_alt 'P m -3 m'
_space_group_IT_number 221
_space_group_name_Hall '-P 4 2 3'
loop_
_atom_site_label
_atom_site_fract_x
_atom_site_fract_y
_atom_site_fract_z
Rb1 0.000 0.000 0.000
Ga1 0.500 0.500 0.500
Pt1 0.000 0.500 0.500
```

Results
The value obtained for the formation energy is 24.8 kJ per mole of atoms. The value obtained for the polymorph energy (0 for the lowest one) is 0 kJ/mol of formula units.



No. 5
RbGa3Pt | PBE | relaxed

Geometry as CIF:
```
data_RbGa3Pt
_chemical_formula_sum 'Rb4 Ga12 Pt4'
_cell_length_a 8.545
_cell_length_b 4.475
_cell_length_c 11.856
_cell_angle_alpha 90.00
_cell_angle_beta 90.00
_cell_angle_gamma 90.00
_space_group_name_H-M_alt 'P n m a'
_space_group_IT_number 62
loop_
_space_group_symop_operation_xyz
'x,y,z'
'-x,-y,-z'
'-x+1/2,-y,z+1/2'
'x+1/2,y,-z+1/2'
'x+1/2,-y+1/2,-z+1/2'
'-x+1/2,y+1/2,z+1/2'
'-x,y+1/2,-z'
'x,-y+1/2,z'
loop_
_atom_site_label
_atom_site_fract_x
_atom_site_fract_y
_atom_site_fract_z
Rb1 0.155 0.250 0.013
Ga1 0.057 0.250 0.576
Ga2 0.134 0.750 0.769
Ga3 0.167 0.750 0.243
Pt1 0.096 0.250 0.356
```

Results
The value obtained for the formation energy is -30.4 kJ per mole of atoms. The value obtained for the polymorph energy (0 for the lowest one) is 0 kJ/mol of formula units.



No. 6
RbGa3Pt5 | PBE | relaxed

Geometry as CIF:
```
data_RbGa3Pt5
_chemical_formula_sum 'Rb4 Ga12 Pt20'
_cell_length_a 4.095
_cell_length_b 13.274
_cell_length_c 12.954
_cell_angle_alpha 90.00
_cell_angle_beta 90.00
_cell_angle_gamma 90.00
_space_group_name_H-M_alt 'C m c m'
_space_group_IT_number 63
_space_group_name_Hall '-C 2c 2'
loop_
_atom_site_label
_atom_site_fract_x
_atom_site_fract_y
_atom_site_fract_z
Rb1 0.000 0.177 0.250
Ga1 0.000 0.092 0.750
Ga2 0.000 0.382 0.545
Pt1 0.000 0.000 0.000
Pt2 0.000 0.197 0.562
Pt3 0.000 0.445 0.141
```

Results
The value obtained for the formation energy is -47.3 kJ per mole of atoms.



No. 7
Rb2Ga3Pt2 | PBE | relaxed

Geometry as CIF:
```
data_Rb2Ga3Pt2
_chemical_formula_sum 'Rb4 Ga6 Pt4'
_cell_length_a 13.023
_cell_length_b 4.242
_cell_length_c 8.168
_cell_angle_alpha 90.00
_cell_angle_beta 125.89
_cell_angle_gamma 90.00
_space_group_name_H-M_alt 'C 1 2/m 1'
_space_group_IT_number 12
loop_
_space_group_symop_operation_xyz
'x,y,z'
'-x,-y,-z'
'-x,y,-z'
'x,-y,z'
'x+1/2,y+1/2,z'
'-x+1/2,-y+1/2,-z'
'-x+1/2,y+1/2,-z'
'x+1/2,-y+1/2,z'
loop_
_atom_site_label
_atom_site_fract_x
_atom_site_fract_y
_atom_site_fract_z
Rb1 0.141 0.000 0.267
Ga1 0.000 0.500 0.500
Ga2 0.172 0.500 0.933
Pt1 0.112 0.000 0.711
```

Results
The value obtained for the formation energy is -41.5 kJ per mole of atoms.



No. 8
Rb2GaPt2 | PBE | relaxed

Geometry as CIF:
```
data_Rb2GaPt2
_chemical_formula_sum 'Rb4 Ga2 Pt4'
_cell_length_a 6.622
_cell_length_b 6.622
_cell_length_c 5.822
_cell_angle_alpha 90.00
_cell_angle_beta 90.00
_cell_angle_gamma 90.00
_space_group_name_H-M_alt 'P 4/m b m'
_space_group_IT_number 127
_space_group_name_Hall '-P 4 2ab'
loop_
_atom_site_label
_atom_site_fract_x
_atom_site_fract_y
_atom_site_fract_z
Rb1 0.178 0.322 0.000
Ga1 0.000 0.000 0.500
Pt1 0.141 0.641 0.500
```

Results
The value obtained for the formation energy is -14.4 kJ per mole of atoms. The value obtained for the polymorph energy (0 for the lowest one) is 86 kJ/mol of formula units.



No. 9
RbGaPt2 | PBE | relaxed

Geometry as CIF:
```
data_RbGaPt2
_chemical_formula_sum 'Rb2 Ga2 Pt4'
_cell_length_a 4.401
_cell_length_b 7.492
_cell_length_c 6.583
_cell_angle_alpha 90.00
_cell_angle_beta 90.00
_cell_angle_gamma 90.00
_space_group_name_H-M_alt 'P m m n'
_space_group_IT_number 59
loop_
_space_group_symop_operation_xyz
'x,y,z'
'-x,-y,-z'
'-x+1/2,-y+1/2,z'
'x+1/2,y+1/2,-z'
'x+1/2,-y,-z'
'-x+1/2,y,z'
'-x,y+1/2,-z'
'x,-y+1/2,z'
loop_
_atom_site_label
_atom_site_fract_x
_atom_site_fract_y
_atom_site_fract_z
Rb1 0.250 0.250 0.099
Ga1 0.250 0.750 0.433
Pt1 0.250 0.070 0.587
```

Results
The value obtained for the formation energy is -35.7 kJ per mole of atoms.



No. 10
RbGa2Pt3 | PBE | relaxed

Geometry as CIF:
```
data_RbGa2Pt3
_chemical_formula_sum 'Rb1 Ga2 Pt3'
_cell_length_a 5.8546
_cell_length_b 5.8546
_cell_length_c 3.9293
_cell_angle_alpha 90.00
_cell_angle_beta 90.00
_cell_angle_gamma 120.00
_space_group_name_H-M_alt 'P 6/m m m'
_space_group_IT_number 191
_space_group_name_Hall '-P 6 2'
loop_
_atom_site_label
_atom_site_fract_x
_atom_site_fract_y
_atom_site_fract_z
Rb1 0.0000 0.0000 0.0000
Ga1 0.3333 0.6667 0.0000
Pt1 0.0000 0.5000 0.5000
```

Results
The value obtained for the formation energy is -50.0 kJ per mole of atoms.



No. 11
RbGa3Pt | PBE | relaxed

Geometry as CIF:
```
data_RbGa3Pt
_chemical_formula_sum 'Rb1 Ga3 Pt1'
_cell_length_a 5.020
_cell_length_b 5.020
_cell_length_c 5.020
_cell_angle_alpha 90.00
_cell_angle_beta 90.00
_cell_angle_gamma 90.00
_space_group_name_H-M_alt 'P m -3 m'
_space_group_IT_number 221
_space_group_name_Hall '-P 4 2 3'
loop_
_atom_site_label
_atom_site_fract_x
_atom_site_fract_y
_atom_site_fract_z
Rb1 0.000 0.000 0.000
Ga1 0.000 0.500 0.500
Pt1 0.500 0.500 0.500
```

Results
The value obtained for the formation energy is -16.6 kJ per mole of atoms. The value obtained for the polymorph energy (0 for the lowest one) is 69 kJ/mol of formula units.



No. 12
RbGaPt2 | PBE | relaxed

Geometry as CIF:
```
data_RbGaPt2
_chemical_formula_sum 'Rb4 Ga4 Pt8'
_cell_length_a 5.318
_cell_length_b 5.318
_cell_length_c 16.527
_cell_angle_alpha 90.00
_cell_angle_beta 90.00
_cell_angle_gamma 90.00
_space_group_name_H-M_alt 'I -4 2 d'
_space_group_IT_number 122
_space_group_name_Hall 'I -4 2bw'
loop_
_atom_site_label
_atom_site_fract_x
_atom_site_fract_y
_atom_site_fract_z
Rb1 0.000 0.000 0.000
Ga1 0.000 0.000 0.500
Pt1 0.027 0.250 0.625
```

Results
The value obtained for the formation energy is -20.0 kJ per mole of atoms.



No. 13
RbGaPt | PBE | relaxed

Geometry as CIF:
```
data_RbGaPt
_chemical_formula_sum 'Rb4 Ga4 Pt4'
_cell_length_a 6.805
_cell_length_b 15.612
_cell_length_c 3.222
_cell_angle_alpha 90.00
_cell_angle_beta 118.10
_cell_angle_gamma 90.00
_space_group_name_H-M_alt 'C 1 2/m 1'
_space_group_IT_number 12
loop_
_space_group_symop_operation_xyz
'x,y,z'
'-x,-y,-z'
'-x,y,-z'
'x,-y,z'
'x+1/2,y+1/2,z'
'-x+1/2,-y+1/2,-z'
'-x+1/2,y+1/2,-z'
'x+1/2,-y+1/2,z'
loop_
_atom_site_label
_atom_site_fract_x
_atom_site_fract_y
_atom_site_fract_z
Rb1 0.000 0.186 0.000
Ga1 0.243 0.500 0.242
Pt1 0.000 0.404 0.500
```

Results
The value obtained for the formation energy is -15.8 kJ per mole of atoms. The value obtained for the polymorph energy (0 for the lowest one) is 78 kJ/mol of formula units.



No. 14
RbGa3Pt | PBE | relaxed

Geometry as CIF:
```
data_RbGa3Pt
_chemical_formula_sum 'Rb1 Ga3 Pt1'
_cell_length_a 5.692
_cell_length_b 5.692
_cell_length_c 5.692
_cell_angle_alpha 90.00
_cell_angle_beta 90.00
_cell_angle_gamma 90.00
_space_group_name_H-M_alt 'P m -3 m'
_space_group_IT_number 221
_space_group_name_Hall '-P 4 2 3'
loop_
_atom_site_label
_atom_site_fract_x
_atom_site_fract_y
_atom_site_fract_z
Rb1 0.000 0.000 0.000
Ga1 0.000 0.000 0.500
Pt1 0.500 0.500 0.500
```

Results
The value obtained for the formation energy is 155.7 kJ per mole of atoms. The value obtained for the polymorph energy (0 for the lowest one) is 931 kJ/mol of formula units.



No. 15
Rb3GaPt | PBE | relaxed

Geometry as CIF:
```
data_Rb3GaPt
_chemical_formula_sum 'Rb3 Ga1 Pt1'
_cell_length_a 6.437
_cell_length_b 6.437
_cell_length_c 6.437
_cell_angle_alpha 90.00
_cell_angle_beta 90.00
_cell_angle_gamma 90.00
_space_group_name_H-M_alt 'P m -3 m'
_space_group_IT_number 221
_space_group_name_Hall '-P 4 2 3'
loop_
_atom_site_label
_atom_site_fract_x
_atom_site_fract_y
_atom_site_fract_z
Rb1 0.000 0.000 0.500
Ga1 0.500 0.500 0.500
Pt1 0.000 0.000 0.000
```

Results
The value obtained for the formation energy is 30.4 kJ per mole of atoms. The value obtained for the polymorph energy (0 for the lowest one) is 0 kJ/mol of formula units.



No. 16
RbGaSnPt | PBE | relaxed

Geometry as CIF:
```
data_RbGaSnPt
_chemical_formula_sum 'Rb2 Ga2 Sn2 Pt2'
_cell_length_a 7.599
_cell_length_b 4.388
_cell_length_c 7.455
_cell_angle_alpha 90.00
_cell_angle_beta 109.74
_cell_angle_gamma 90.00
_space_group_name_H-M_alt 'C 1 m 1'
_space_group_IT_number 8
loop_
_space_group_symop_operation_xyz
'x,y,z'
'x,-y,z'
'x+1/2,y+1/2,z'
'x+1/2,-y+1/2,z'
loop_
_atom_site_label
_atom_site_fract_x
_atom_site_fract_y
_atom_site_fract_z
Rb1 0.000 0.000 0.000
Ga1 0.211 0.000 0.633
Sn1 0.301 0.500 0.401
Pt1 0.021 0.500 0.563
```

Results
The value obtained for the formation energy is -37.2 kJ per mole of atoms.



No. 17
RbTlGa2Pt | PBE | relaxed

Geometry as CIF:
```
data_RbTlGa2Pt
_chemical_formula_sum 'Rb1 Tl1 Ga2 Pt1'
_cell_length_a 4.966
_cell_length_b 4.966
_cell_length_c 5.760
_cell_angle_alpha 90.00
_cell_angle_beta 90.00
_cell_angle_gamma 90.00
_space_group_name_H-M_alt 'P 4/m m m'
_space_group_IT_number 123
_space_group_name_Hall '-P 4 2'
loop_
_atom_site_label
_atom_site_fract_x
_atom_site_fract_y
_atom_site_fract_z
Rb1 0.000 0.000 0.000
Tl1 0.500 0.500 0.000
Ga1 0.000 0.500 0.500
Pt1 0.500 0.500 0.500
```

Results
The value obtained for the formation energy is -13.3 kJ per mole of atoms.



No. 18
RbTl2GaPt | PBE | relaxed

Geometry as CIF:
```
data_RbTl2GaPt
_chemical_formula_sum 'Rb1 Tl2 Ga1 Pt1'
_cell_length_a 5.610
_cell_length_b 5.610
_cell_length_c 4.954
_cell_angle_alpha 90.00
_cell_angle_beta 90.00
_cell_angle_gamma 90.00
_space_group_name_H-M_alt 'P 4/m m m'
_space_group_IT_number 123
_space_group_name_Hall '-P 4 2'
loop_
_atom_site_label
_atom_site_fract_x
_atom_site_fract_y
_atom_site_fract_z
Rb1 0.000 0.000 0.000
Tl1 0.000 0.500 0.500
Ga1 0.500 0.500 0.000
Pt1 0.500 0.500 0.500
```

Results
The value obtained for the formation energy is -8.9 kJ per mole of atoms.



No. 19
RbZn2GaPt | PBE | relaxed

Geometry as CIF:
```
data_RbZn2GaPt
_chemical_formula_sum 'Rb1 Zn2 Ga1 Pt1'
_cell_length_a 5.030
_cell_length_b 5.030
_cell_length_c 4.851
_cell_angle_alpha 90.00
_cell_angle_beta 90.00
_cell_angle_gamma 90.00
_space_group_name_H-M_alt 'P 4/m m m'
_space_group_IT_number 123
_space_group_name_Hall '-P 4 2'
loop_
_atom_site_label
_atom_site_fract_x
_atom_site_fract_y
_atom_site_fract_z
Rb1 0.000 0.000 0.000
Zn1 0.000 0.500 0.500
Ga1 0.500 0.500 0.000
Pt1 0.500 0.500 0.500
```

Results
The value obtained for the formation energy is -29.4 kJ per mole of atoms.



No. 20
RbZnGa2Pt | PBE | relaxed

Geometry as CIF:
```
data_RbZnGa2Pt
_chemical_formula_sum 'Rb1 Zn1 Ga2 Pt1'
_cell_length_a 4.949
_cell_length_b 4.949
_cell_length_c 5.068
_cell_angle_alpha 90.00
_cell_angle_beta 90.00
_cell_angle_gamma 90.00
_space_group_name_H-M_alt 'P 4/m m m'
_space_group_IT_number 123
_space_group_name_Hall '-P 4 2'
loop_
_atom_site_label
_atom_site_fract_x
_atom_site_fract_y
_atom_site_fract_z
Rb1 0.000 0.000 0.000
Zn1 0.500 0.500 0.000
Ga1 0.000 0.500 0.500
Pt1 0.500 0.500 0.500
```

Results
The value obtained for the formation energy is -24.3 kJ per mole of atoms.